[1]
A geometry-optimized KNb3O8 structure, computed with GGA-PBE.

The space group is Cmcm (No. 63) and the conventional cell measures 3.8453, 21.7779 and 9.1182 Å, with angles of 90.00, 90.00 and 90.00 degrees. The distinct sites, in fractional coordinates, are K at (0.0000, 0.0173, 0.2500), Nb at (0.0000, 0.2430, 0.7500), Nb at (0.0000, 0.3676, 0.0593), O at (0.0000, 0.1576, 0.5924), O at (0.0000, 0.2843, 0.2500), O at (0.0000, 0.2965, 0.5944), O at (0.0000, 0.4126, 0.2500) and O at (0.0000, 0.4308, 0.5639).

The value obtained for the density of states at the Fermi level is 0.00 states/eV/cell. The calculation puts the uncorrected formation energy at -2.53 eV/atom. The spin magnetization is 0.0 μB/f.u. The value obtained for the calculated total energy is -405.5 eV/cell.



[2]
A geometry-optimized KNb3O8 structure, computed with GGA-PBE.

The space group is P-3 (No. 147) and the conventional cell measures 5.9378, 5.9378 and 7.2805 Å, with angles of 90.00, 90.00 and 120.00 degrees. The distinct sites, in fractional coordinates, are K at (0.0000, 0.0000, 0.0000), Nb at (0.0000, 0.0000, 0.5000), Nb at (0.3333, 0.6667, 0.7448), O at (0.1556, 0.8421, 0.6632) and O at (0.3333, 0.6667, 0.9892).

The value obtained for the density of states at the Fermi level is 0.00 states/eV/cell. The calculation puts the uncorrected formation energy at -2.46 eV/atom. The spin magnetization is 0.0 μB/f.u. The value obtained for the calculated total energy is -100.5 eV/cell.



[3]
A geometry-optimized KNbO4 structure, computed with GGA-PBE.

The space group is P4/mmm (No. 123) and the conventional cell measures 3.4682, 3.4682 and 6.6805 Å, with angles of 90.00, 90.00 and 90.00 degrees. The distinct sites, in fractional coordinates, are K at (0.0000, 0.0000, 0.0000), Nb at (0.5000, 0.5000, 0.5000) and O at (0.0000, 0.5000, 0.3161).

The value obtained for the density of states at the Fermi level is 2.36 states/eV/cell. The calculation puts the uncorrected formation energy at -1.51 eV/atom. The spin magnetization is 1.6 μB/f.u. The value obtained for the calculated total energy is -40.1 eV/cell.